The following is a DFT calculation (PBE) of a relaxed structure of LiMg5Se6.

## Properties
total moment	0.00	μB/atom
uncorrected energy	-44.52	eV/f.u.
E_form (uncorrected)	-1.144	eV per atom

a = 6.721 Å, b = 6.721 Å, c = 6.743 Å
α = 99.61°, β = 99.61°, γ = 119.96°
Sites, in units of the cell vectors:
Li  0.000  0.000  0.000
Mg  0.167  0.833  0.500
Mg  0.334  0.666  0.000
Mg  0.500  0.500  0.500
Mg  0.666  0.334  0.000
Mg  0.833  0.167  0.500
Se  0.083  0.420  0.250
Se  0.253  0.253  0.747
Se  0.420  0.083  0.250
Se  0.580  0.917  0.750
Se  0.747  0.747  0.253
Se  0.917  0.580  0.750



The following is a DFT calculation (PBE) of a relaxed structure of LiMgSe2.

## Properties
total moment	0.00	μB/atom
uncorrected energy	-13.39	eV/f.u.
E_form (uncorrected)	-0.728	eV per atom

a = 3.782 Å, b = 3.782 Å, c = 11.163 Å
α = 90.00°, β = 90.00°, γ = 90.00°
Sites, in units of the cell vectors:
Li  0.000  0.000  0.000
Li  0.500  0.500  0.500
Mg  0.000  0.500  0.750
Mg  0.500  0.000  0.250
Se  0.000  0.000  0.500
Se  0.000  0.500  0.250
Se  0.500  0.000  0.750
Se  0.500  0.500  0.000



The following is a DFT calculation (PBE) of a relaxed structure of LiMg2Se.

## Properties
total moment	0.00	μB/atom
uncorrected energy	-10.27	eV/f.u.
E_form (uncorrected)	-0.421	eV per atom

a = 4.161 Å, b = 4.161 Å, c = 4.700 Å
α = 90.00°, β = 90.00°, γ = 90.00°
Sites, in units of the cell vectors:
Li  0.000  0.000  0.000
Mg  0.000  0.500  0.500
Mg  0.500  0.000  0.500
Se  0.500  0.500  0.000



The following is a DFT calculation (PBE) of a relaxed structure of Li2MgSe.

## Properties
total moment	0.00	μB/atom
uncorrected energy	-11.35	eV/f.u.
E_form (uncorrected)	-0.611	eV per atom

a = 3.597 Å, b = 3.597 Å, c = 5.732 Å
α = 90.00°, β = 90.00°, γ = 90.00°
Sites, in units of the cell vectors:
Li  0.000  0.000  0.206
Li  0.000  0.000  0.794
Mg  0.500  0.500  0.500
Se  0.500  0.500  0.000



The following is a DFT calculation (PBE) of a relaxed structure of LiMgSe2.

## Properties
total moment	0.00	μB/atom
uncorrected energy	-13.57	eV/f.u.
E_form (uncorrected)	-0.774	eV per atom

a = 3.913 Å, b = 5.801 Å, c = 7.352 Å
α = 90.00°, β = 90.00°, γ = 90.00°
Sites, in units of the cell vectors:
Li  0.000  0.000  0.000
Li  0.500  0.500  0.000
Mg  0.000  0.000  0.500
Mg  0.500  0.500  0.500
Se  0.000  0.500  0.256
Se  0.000  0.500  0.744
Se  0.500  0.000  0.256
Se  0.500  0.000  0.744



The following is a DFT calculation (PBE) of a relaxed structure of LiMg2Se.

## Properties
total moment	0.00	μB/atom
uncorrected energy	-10.07	eV/f.u.
E_form (uncorrected)	-0.371	eV per atom

a = 4.070 Å, b = 4.070 Å, c = 9.795 Å
α = 90.00°, β = 90.00°, γ = 90.00°
Sites, in units of the cell vectors:
Li  0.000  0.000  0.000
Li  0.500  0.500  0.500
Mg  0.000  0.500  0.250
Mg  0.000  0.500  0.750
Mg  0.500  0.000  0.250
Mg  0.500  0.000  0.750
Se  0.000  0.000  0.500
Se  0.500  0.500  0.000